# 1
This record from Alexandria via LeMat-Bulk describes crystalline ThBeOs at its relaxed geometry. The functional is PBE.

POSCAR file:
```
ThBeOs
1.0
-3.518 1.847 -0.592
-1.804 -3.579 -0.445
0.268 1.682 3.655
Be Os Th
1 1 1
Cartesian
-1.699 -1.518 0.823
-0.587 0.308 -0.099
-2.768 1.160 1.894
```

Its energy above the most stable polymorph in this dataset is 25 meV per atom. Its space group is P-6m2.

=====

# 2
This record from Alexandria via LeMat-Bulk describes crystalline TaGaSiOsPb at its relaxed geometry. The functional is PBE.

POSCAR file:
```
TaGaSiOsPb
1.0
6.912 0.000 0.005
0.000 3.118 0.000
-1.361 0.000 9.092
Pb Si Os Ga Ta
2 2 2 2 2
Cartesian
0.320 0.000 7.661
1.000 1.559 3.115
5.338 0.000 4.827
6.018 1.559 0.281
2.961 0.000 8.501
3.641 1.559 3.955
2.757 0.000 5.851
3.437 1.559 1.305
5.533 0.000 2.331
4.852 1.559 6.877
```

Its energy above the most stable polymorph in this dataset is 74 meV per atom. The uncorrected formation energy is 0.28 eV per formula unit. Its space group is Cm.

=====

# 3
This record from Alexandria via LeMat-Bulk describes crystalline Dy3Th2C3 at its relaxed geometry. The functional is PBE.

POSCAR file:
```
Dy3Th2C3
1.0
-3.857 2.690 -2.158
0.586 -5.939 -2.250
-7.464 -4.096 8.234
Dy Th C
6 4 6
Cartesian
-6.640 -2.491 2.561
-4.425 -1.838 -0.586
-9.701 -6.365 3.202
-6.273 -5.434 4.437
-1.046 -0.956 0.678
-2.998 -2.081 2.764
-9.296 -3.922 5.523
-7.746 -5.279 1.060
-4.092 -4.847 1.271
-1.418 -3.378 -1.677
-8.284 -4.299 3.244
-3.245 -1.972 -2.862
-6.122 -3.572 0.285
-2.449 -3.045 0.580
-7.480 -5.316 6.743
-4.639 -3.793 3.562
```

The calculation puts the total energy at -7.172 eV per atom. Its space group is Cm.

=====

# 4
This record from Alexandria via LeMat-Bulk describes crystalline Pm2Cu4Ge3Rh at its relaxed geometry. The functional is PBE.

POSCAR file:
```
Pm2Cu4Ge3Rh
1.0
-1.556 -0.186 3.815
-0.472 -4.079 -0.392
9.447 -1.457 3.782
Pm Cu Ge Rh
2 4 3 1
Cartesian
1.573 -0.456 2.849
6.859 -3.134 2.645
-1.014 -2.132 1.712
0.000 0.000 0.000
5.260 -1.025 4.325
3.172 -2.565 1.169
4.723 -0.729 1.891
7.442 -1.361 5.199
0.991 -2.229 0.295
3.709 -2.861 3.603
```

The calculation puts the total energy at -5.164 eV per atom. Its space group is P-4m2.

=====

# 5
This record from Alexandria via LeMat-Bulk describes crystalline Al2HgPb at its relaxed geometry. The functional is PBE.

POSCAR file:
```
Al2HgPb
1.0
0.000 3.603 3.603
3.603 0.000 3.603
3.603 3.603 0.000
Pb Hg Al
1 1 2
Cartesian
3.603 3.603 3.603
0.000 0.000 0.000
1.802 1.802 1.802
5.405 5.405 5.405
```

Its energy above the most stable polymorph in this dataset is 134 meV per atom. Its space group is Fm-3m.

=====

no.,Fermi-level density of states (states/eV/cell)
1,1.1
2,3.0
3,11.7
4,5.7
5,1.4